Density functional theory data (PBE-GGA) for crystalline Cd6InGa at its relaxed geometry.

CIF file:
```
data_Cd6InGa
_cell_length_a 4.693
_cell_length_b 8.840
_cell_length_c 8.827
_cell_angle_alpha 90.00
_cell_angle_beta 90.00
_cell_angle_gamma 90.00
_symmetry_space_group_name_H-M 'A m m 2'
_symmetry_Int_Tables_number 38
loop_
_symmetry_equiv_pos_as_xyz
'x,y,z'
'-x,-y,z'
'-x,y,z'
'x,-y,z'
'x,y+1/2,z+1/2'
'-x,-y+1/2,z+1/2'
'-x,y+1/2,z+1/2'
'x,-y+1/2,z+1/2'
loop_
_atom_site_label
_atom_site_fract_x
_atom_site_fract_y
_atom_site_fract_z
_atom_site_occupancy
Cd1 0.000 0.000 0.000 1
Cd2 0.000 0.244 0.251 1
Cd3 0.500 0.000 0.256 1
Cd4 0.500 0.248 0.998 1
In1 0.500 0.000 0.738 1
Ga1 0.000 0.000 0.505 1
```

M_tot, μB per formula unit: 0.00
Total DFT energy (no corrections), eV for the cell shown: -21.9
Crystal system: orthorhombic
DFT formation energy, kJ/mol of atoms: 3.5

---

Density functional theory data (PBE-GGA) for crystalline BeMo2W at its relaxed geometry.

CIF file:
```
data_BeMo2W
_cell_length_a 2.670
_cell_length_b 4.346
_cell_length_c 5.163
_cell_angle_alpha 90.00
_cell_angle_beta 100.68
_cell_angle_gamma 90.00
_symmetry_space_group_name_H-M 'P 1 2/m 1'
_symmetry_Int_Tables_number 10
loop_
_symmetry_equiv_pos_as_xyz
'x,y,z'
'-x,-y,-z'
'-x,y,-z'
'x,-y,z'
loop_
_atom_site_label
_atom_site_fract_x
_atom_site_fract_y
_atom_site_fract_z
_atom_site_occupancy
Be1 0.000 0.000 0.000 1
Mo1 0.253 0.500 0.757 1
W1 0.500 0.000 0.500 1
```

M_tot, μB per formula unit: 0.00
Total DFT energy (no corrections), eV for the cell shown: -37.7
Crystal system: monoclinic
DFT formation energy, kJ/mol of atoms: 16.5

---

Density functional theory data (PBE-GGA) for crystalline AgMo2Au at its relaxed geometry.

CIF file:
```
data_AgMo2Au
_cell_length_a 2.715
_cell_length_b 4.486
_cell_length_c 5.427
_cell_angle_alpha 90.00
_cell_angle_beta 90.00
_cell_angle_gamma 90.00
_symmetry_space_group_name_H-M 'P m m m'
_symmetry_Int_Tables_number 47
loop_
_symmetry_equiv_pos_as_xyz
'x,y,z'
'-x,-y,-z'
'-x,-y,z'
'x,y,-z'
'x,-y,-z'
'-x,y,z'
'-x,y,-z'
'x,-y,z'
loop_
_atom_site_label
_atom_site_fract_x
_atom_site_fract_y
_atom_site_fract_z
_atom_site_occupancy
Ag1 0.000 0.000 0.000 1
Mo1 0.500 0.500 0.240 1
Au1 0.000 0.000 0.500 1
```

M_tot, μB per formula unit: 0.00
Total DFT energy (no corrections), eV for the cell shown: -26.2
Crystal system: orthorhombic
DFT formation energy, kJ/mol of atoms: 38.0

---

Density functional theory data (PBE-GGA) for crystalline ZrC at its relaxed geometry.

CIF file:
```
data_ZrC
_cell_length_a 9.025
_cell_length_b 3.319
_cell_length_c 5.988
_cell_angle_alpha 90.00
_cell_angle_beta 119.02
_cell_angle_gamma 90.00
_symmetry_space_group_name_H-M 'C 1 m 1'
_symmetry_Int_Tables_number 8
loop_
_symmetry_equiv_pos_as_xyz
'x,y,z'
'x,-y,z'
'x+1/2,y+1/2,z'
'x+1/2,-y+1/2,z'
loop_
_atom_site_label
_atom_site_fract_x
_atom_site_fract_y
_atom_site_fract_z
_atom_site_occupancy
Zr1 0.000 0.000 0.000 1
Zr2 0.135 0.500 0.678 1
Zr3 0.318 0.500 0.325 1
C1 0.180 0.000 0.436 1
C2 0.275 0.000 0.009 1
C3 0.364 0.000 0.636 1
```

M_tot, μB per formula unit: 0.00
Total DFT energy (no corrections), eV for the cell shown: -110.2
Crystal system: monoclinic
DFT formation energy, kJ/mol of atoms: -29.0